Entry 1:
A relaxed Ho2P4Ir3Ru crystal. Source: Alexandria, functional PBE.

Output
Calculated total energy   -76.6 eV for the cell shown
Space-group type   P-4m2
Formation energy   -1.000 eV/atom

Unit cell a=4.1487 b=4.1487 c=9.3925 alpha=90.00 beta=90.00 gamma=90.00
With the nearest neighbours (Å) after each atom.
Atoms (fractional coordinates):
1 Ho 0.0000 0.5000 0.2392  8 P 3.06-3.17, 7 Ir 3.15-3.33, 2 Ru 3.21
2 Ho 0.5000 0.0000 0.7608  8 P 3.06-3.17, 7 Ir 3.15-3.33, 2 Ru 3.21
3 P 0.0000 0.0000 0.0000  4 Ir 2.34
4 P 0.0000 0.5000 0.6340  3 Ir 2.35-2.43, 2 Ru 2.43
5 P 0.5000 0.0000 0.3660  3 Ir 2.35-2.43, 2 Ru 2.43
6 P 0.5000 0.5000 0.0000  4 Ir 2.34
7 Ir 0.0000 0.5000 0.8841  5 P 2.34-2.35
8 Ir 0.5000 0.0000 0.1159  5 P 2.34-2.35
9 Ir 0.5000 0.5000 0.5000  4 P 2.43
10 Ru 0.0000 0.0000 0.5000  4 P 2.43

Entry 2:
A relaxed Ho4PIrS2 crystal. Source: Alexandria, functional PBE.

Output
Energy relative to the elements, uncorrected   -1.547 eV/atom
Calculated total energy   -53.2 eV for the cell shown
Space-group type   P2/m

Unit cell a=6.8926 b=3.9285 c=6.9687 alpha=90.00 beta=108.65 gamma=90.00
With the nearest neighbours (Å) after each atom.
Atoms (fractional coordinates):
1 Ho 0.2438 0.0000 0.2401  2 Ir 2.77, 1 P 2.79, 3 S 2.84-2.87
2 Ho 0.2475 0.5000 0.7619  1 Ir 2.73, 2 P 2.79, 3 S 2.85-2.90
3 Ho 0.7525 0.5000 0.2381  1 Ir 2.73, 2 P 2.79, 3 S 2.85-2.90
4 Ho 0.7562 0.0000 0.7599  2 Ir 2.77, 1 P 2.79, 3 S 2.84-2.87
5 P 0.5000 0.0000 0.0000  6 Ho 2.79
6 Ir 0.0000 0.5000 0.0000  6 Ho 2.73-2.77
7 S 0.0000 0.0000 0.5000  6 Ho 2.84-2.85
8 S 0.5000 0.5000 0.5000  6 Ho 2.87-2.90

Entry 3:
A relaxed HoScP2Ir5 crystal. Source: Alexandria, functional PBE.

Output
Calculated total energy   -71.4 eV for the cell shown
Space-group type   P4/mmm
Formation energy   -0.599 eV/atom

Unit cell a=3.9833 b=3.9833 c=10.7231 alpha=90.00 beta=90.00 gamma=90.00
With the nearest neighbours (Å) after each atom.
Atoms (fractional coordinates):
1 Ho 0.0000 0.0000 0.0000  4 Ir 2.82
2 Sc 0.0000 0.0000 0.5000  8 Ir 2.80
3 P 0.5000 0.5000 0.2127  5 Ir 2.28
4 P 0.5000 0.5000 0.7873  5 Ir 2.28
5 Ir 0.0000 0.5000 0.3167  2 P 2.28
6 Ir 0.0000 0.5000 0.6833  2 P 2.28
7 Ir 0.5000 0.0000 0.3167  2 P 2.28
8 Ir 0.5000 0.0000 0.6833  2 P 2.28
9 Ir 0.5000 0.5000 0.0000  2 P 2.28

Entry 4:
A relaxed Ho4PIrSe2 crystal. Source: Alexandria, functional PBE.

Output
Energy relative to the elements, uncorrected   -1.474 eV/atom
Calculated total energy   -51.3 eV for the cell shown
Space-group type   P2/m

Unit cell a=7.0334 b=4.0052 c=7.1369 alpha=90.00 beta=108.62 gamma=90.00
With the nearest neighbours (Å) after each atom.
Atoms (fractional coordinates):
1 Ho 0.2387 0.0000 0.2260  2 Ir 2.77, 1 P 2.81, 3 Se 2.96-2.99
2 Ho 0.2522 0.5000 0.7742  1 Ir 2.75, 2 P 2.80, 3 Se 2.96-3.01
3 Ho 0.7478 0.5000 0.2258  1 Ir 2.75, 2 P 2.80, 3 Se 2.96-3.01
4 Ho 0.7613 0.0000 0.7740  2 Ir 2.77, 1 P 2.81, 3 Se 2.96-2.99
5 P 0.5000 0.0000 0.0000  6 Ho 2.80-2.81
6 Ir 0.0000 0.5000 0.0000  6 Ho 2.75-2.77
7 Se 0.0000 0.0000 0.5000  6 Ho 2.96
8 Se 0.5000 0.5000 0.5000  6 Ho 2.99-3.01

Entry 5:
A relaxed Ho3SiP2Ir9 crystal. Source: Alexandria, functional PBE.

Output
Energy relative to the elements, uncorrected   -0.414 eV/atom
Calculated total energy   -115.9 eV for the cell shown
Space-group type   P-3m1

Unit cell a=6.1477 b=6.1477 c=8.5518 alpha=90.00 beta=90.00 gamma=120.00
With the nearest neighbours (Å) after each atom.
Atoms (fractional coordinates):
1 Ho 0.0000 0.0000 0.0000  12 Ir 2.86-3.07
2 Ho 0.3333 0.6667 0.6881  9 Ir 3.09-3.20
3 Ho 0.6667 0.3333 0.3119  9 Ir 3.09-3.20
4 Si 0.0000 0.0000 0.5000  6 Ir 2.42
5 P 0.3333 0.6667 0.1757  6 Ir 2.20-2.33
6 P 0.6667 0.3333 0.8243  6 Ir 2.20-2.33
7 Ir 0.0000 0.5000 0.0000  2 P 2.33
8 Ir 0.1450 0.2899 0.2819  1 P 2.20, 1 Si 2.42
9 Ir 0.1450 0.8550 0.2819  1 P 2.20, 1 Si 2.42
10 Ir 0.2899 0.1450 0.7181  1 P 2.20, 1 Si 2.42
11 Ir 0.5000 0.0000 0.0000  2 P 2.33
12 Ir 0.5000 0.5000 0.0000  2 P 2.33
13 Ir 0.7101 0.8550 0.2819  1 P 2.20, 1 Si 2.42
14 Ir 0.8550 0.1450 0.7181  1 P 2.20, 1 Si 2.42
15 Ir 0.8550 0.7101 0.7181  1 P 2.20, 1 Si 2.42

Entry 6:
A relaxed Ho2SiPIr6 crystal. Source: Alexandria, functional PBE.

Output
Energy relative to the elements, uncorrected   -0.561 eV/atom
Calculated total energy   -157.5 eV for the cell shown
Space-group type   Pmmn

Unit cell a=5.3848 b=8.5557 c=7.9293 alpha=90.00 beta=90.00 gamma=90.00
With the nearest neighbours (Å) after each atom.
Atoms (fractional coordinates):
1 Ho 0.2500 0.0228 0.2117  9 Ir 3.05-3.12, 2 Si 3.32
2 Ho 0.2500 0.4772 0.2117  9 Ir 3.05-3.12, 2 Si 3.32
3 Ho 0.7500 0.5228 0.7883  9 Ir 3.05-3.12, 2 Si 3.32
4 Ho 0.7500 0.9772 0.7883  9 Ir 3.05-3.12, 2 Si 3.32
5 Si 0.2500 0.7500 0.7761  6 Ir 2.38-2.59
6 Si 0.7500 0.2500 0.2239  6 Ir 2.38-2.59
7 P 0.2500 0.2500 0.7386  6 Ir 2.31-2.51
8 P 0.7500 0.7500 0.2614  6 Ir 2.31-2.51
9 Ir 0.0028 0.2500 0.4699  1 Si 2.38, 1 P 2.51, 3 Ir 2.64-2.66
10 Ir 0.0069 0.7500 0.0283  1 P 2.31, 1 Si 2.39
11 Ir 0.2500 0.0063 0.6017  1 P 2.35, 1 Si 2.59
12 Ir 0.2500 0.4937 0.6017  1 P 2.35, 1 Si 2.59
13 Ir 0.4931 0.7500 0.0283  1 P 2.31, 1 Si 2.39
14 Ir 0.4972 0.2500 0.4699  1 Si 2.38, 1 P 2.51, 3 Ir 2.64-2.66
15 Ir 0.5028 0.7500 0.5301  1 Si 2.38, 1 P 2.51, 3 Ir 2.64-2.66
16 Ir 0.5069 0.2500 0.9717  1 P 2.31, 1 Si 2.39
17 Ir 0.7500 0.5063 0.3983  1 P 2.35, 1 Si 2.59
18 Ir 0.7500 0.9937 0.3983  1 P 2.35, 1 Si 2.59
19 Ir 0.9931 0.2500 0.9717  1 P 2.31, 1 Si 2.39
20 Ir 0.9972 0.7500 0.5301  1 Si 2.38, 1 P 2.51, 3 Ir 2.64-2.66

Entry 7:
A relaxed Ho3SnP2Ir9 crystal. Source: Alexandria, functional PBE.

Output
Calculated total energy   -113.6 eV for the cell shown
Space-group type   P-3m1
Formation energy   -0.353 eV/atom

Unit cell a=5.6367 b=5.6367 c=10.5080 alpha=90.00 beta=90.00 gamma=120.00
With the nearest neighbours (Å) after each atom.
Atoms (fractional coordinates):
1 Ho 0.0000 0.0000 0.0000  6 Ir 2.82
2 Ho 0.3333 0.6667 0.5933  6 Ir 3.04, 3 Sn 3.40
3 Ho 0.6667 0.3333 0.4067  6 Ir 3.04, 3 Sn 3.40
4 Sn 0.0000 0.0000 0.5000  6 Ir 2.63
5 P 0.3333 0.6667 0.1558  6 Ir 2.26-2.31
6 P 0.6667 0.3333 0.8442  6 Ir 2.26-2.31
7 Ir 0.0000 0.5000 0.0000  2 P 2.31
8 Ir 0.1607 0.3215 0.2987  1 P 2.26
9 Ir 0.1607 0.8393 0.2987  1 P 2.26
10 Ir 0.3215 0.1607 0.7013  1 P 2.26
11 Ir 0.5000 0.0000 0.0000  2 P 2.31
12 Ir 0.5000 0.5000 0.0000  2 P 2.31
13 Ir 0.6785 0.8393 0.2987  1 P 2.26
14 Ir 0.8393 0.1607 0.7013  1 P 2.26
15 Ir 0.8393 0.6785 0.7013  1 P 2.26

Entry 8:
A relaxed HoTh2P3Ir12 crystal. Source: Alexandria, functional PBE.

Output
Calculated total energy   -144.9 eV for the cell shown
Space-group type   R-3m
Formation energy   -0.162 eV/atom

Unit cell a=6.8453 b=6.8453 c=6.8453 alpha=84.69 beta=84.69 gamma=84.69
With the nearest neighbours (Å) after each atom.
Atoms (fractional coordinates):
1 Ho 0.0000 0.0000 0.0000  6 Ir 2.71
2 Th 0.3576 0.3576 0.3576  3 Ir 2.63
3 Th 0.6424 0.6424 0.6424  3 Ir 2.63
4 P 0.0000 0.0000 0.5000  2 Ir 2.25
5 P 0.0000 0.5000 0.0000  2 Ir 2.25
6 P 0.5000 0.0000 0.0000  2 Ir 2.25
7 Ir 0.1099 0.6243 0.6243  1 Ir 2.66, 2 P 2.69
8 Ir 0.1771 0.1771 0.6692  1 P 2.25
9 Ir 0.1771 0.6692 0.1771  1 P 2.25
10 Ir 0.3308 0.8229 0.8229  1 P 2.25
11 Ir 0.3757 0.3757 0.8901  1 Ir 2.66, 2 P 2.69
12 Ir 0.3757 0.8901 0.3757  1 Ir 2.66, 2 P 2.69
13 Ir 0.6243 0.1099 0.6243  1 Ir 2.66, 2 P 2.69
14 Ir 0.6243 0.6243 0.1099  1 Ir 2.66, 2 P 2.69
15 Ir 0.6692 0.1771 0.1771  1 P 2.25
16 Ir 0.8229 0.3308 0.8229  1 P 2.25
17 Ir 0.8229 0.8229 0.3308  1 P 2.25
18 Ir 0.8901 0.3757 0.3757  1 Ir 2.66, 2 P 2.69